Entry 1:
Material: LaBeS2
Method: DFT, GGA-PBE
State: optimized geometry

Cell and atoms, written as POSCAR:
```
LaBeS2
1.0
-1.705 2.449 6.822
1.755 0.098 7.236
2.060 4.068 5.887
La Be S
1 1 2
Direct
0.500 0.500 0.500
0.000 0.000 0.000
0.090 0.090 0.090
0.910 0.910 0.910
```

Properties
Space-group type: R-3m, No. 166
Total magnetization in μB/f.u.: 0.00
Formation energy (no corrections) in eV per atom: -1.156


Entry 2:
Material: TlCu4F7
Method: DFT, GGA-PBE
State: optimized geometry

Cell and atoms, written as POSCAR:
```
TlCu4F7
1.0
5.088 0.000 0.000
0.000 4.171 0.000
0.000 0.000 16.122
Cu F Tl
8 14 2
Direct
0.027 0.250 0.381
0.527 0.750 0.119
0.527 0.750 0.881
0.012 0.750 0.761
0.012 0.750 0.239
0.027 0.250 0.619
0.512 0.250 0.261
0.512 0.250 0.739
0.014 0.750 0.363
0.014 0.250 0.746
0.014 0.250 0.254
0.514 0.750 0.246
0.994 0.250 0.500
0.514 0.250 0.137
0.994 0.750 0.120
0.494 0.250 0.620
0.994 0.750 0.880
0.514 0.250 0.863
0.014 0.750 0.637
0.514 0.750 0.754
0.494 0.250 0.380
0.494 0.750 0.000
0.539 0.750 0.500
0.039 0.250 0.000
```

Properties
Space-group type: Imm2, No. 44
Total magnetization in μB/f.u.: 2.02
Formation energy (no corrections) in eV per atom: -1.415


Entry 3:
Material: CdS5Cl
Method: DFT, GGA-PBE
State: optimized geometry

Cell and atoms, written as POSCAR:
```
CdS5Cl
1.0
1.212 3.589 -3.517
1.747 -1.501 -3.616
-11.751 -2.036 -0.985
S Cd Cl
5 1 1
Direct
0.257 0.185 0.198
0.042 0.542 0.085
0.265 0.240 0.758
0.494 0.518 0.758
0.941 0.013 0.198
0.796 0.296 0.592
0.735 0.735 0.471
```

Properties
Space-group type: C2, No. 5
Total magnetization in μB/f.u.: 0.00
Formation energy (no corrections) in eV per atom: -0.160